# TaTePtN2 (PBE-GGA, relaxed)
# **Electronic total energy**: -7.102 eV per atom
# **Crystal system**: tetragonal
data_TaTePtN2
_chemical_formula_sum 'Ta1 Te1 Pt1 N2'
_symmetry_space_group_name_H-M 'P 4/m m m'
_symmetry_Int_Tables_number 123
_symmetry_space_group_name_Hall '-P 4 2'
_cell_length_a 3.955
_cell_length_b 3.955
_cell_length_c 6.046
_cell_angle_alpha 90.00
_cell_angle_beta 90.00
_cell_angle_gamma 90.00
loop_
_atom_site_label
_atom_site_fract_x
_atom_site_fract_y
_atom_site_fract_z
Ta1 0.000 0.000 0.000
Te1 0.000 0.000 0.500
Pt1 0.500 0.500 0.500
N1 0.000 0.500 0.000